! Cs3Mg5H12 PBE relaxed; values from VASP
&SYSTEM
  ibrav = 0, nat = 80, ntyp = 3
/
ATOMIC_SPECIES
H 1.01 H.upf
Cs 132.91 Cs.upf
Mg 24.30 Mg.upf
CELL_PARAMETERS angstrom
-2.074 11.033 4.190
-9.727 -6.798 1.662
9.284 -4.814 5.849
ATOMIC_POSITIONS crystal
H 0.987 0.594 0.673
H 0.013 0.606 0.186
H 0.606 0.013 0.686
H 0.106 0.921 0.094
Cs 0.750 0.375 0.125
Mg 0.500 0.500 0.500
Mg 0.875 0.625 0.750
Mg 0.250 0.375 0.625
Mg 0.625 0.750 0.875
Cs 0.625 0.375 0.750
H 0.906 0.579 0.894
H 0.921 0.106 0.594
H 0.173 0.686 0.079
H 0.487 0.314 0.894
Cs 0.250 0.625 0.875
Cs 0.375 0.750 0.625
Mg 0.125 0.750 0.375
H 0.421 0.327 0.314
H 0.487 0.173 0.094
H 0.686 0.513 0.606
Mg 0.250 0.875 0.125
Mg 0.500 0.500 0.000
H 0.814 0.894 0.987
H 0.421 0.094 0.606
H 0.186 0.079 0.673
Cs 0.625 0.250 0.375
H 0.673 0.579 0.186
H 0.094 0.421 0.106
Mg 0.125 0.375 0.250
H 0.186 0.106 0.013
Mg 0.500 0.000 0.500
H 0.394 0.406 0.579
H 0.921 0.814 0.827
H 0.013 0.406 0.327
Cs 0.875 0.125 0.250
H 0.327 0.906 0.013
H 0.327 0.421 0.814
H 0.173 0.487 0.594
Mg 0.000 0.000 0.500
H 0.606 0.594 0.421
H 0.894 0.814 0.487
H 0.906 0.327 0.513
H 0.987 0.394 0.814
Mg 0.750 0.125 0.875
Cs 0.750 0.875 0.625
H 0.406 0.394 0.079
Mg 0.000 0.500 0.500
H 0.394 0.987 0.314
H 0.673 0.094 0.987
H 0.314 0.827 0.421
Mg 0.625 0.875 0.250
Cs 0.125 0.250 0.875
H 0.314 0.487 0.394
H 0.594 0.606 0.921
Mg 0.375 0.125 0.750
H 0.079 0.894 0.406
Mg 0.500 0.000 0.000
Cs 0.875 0.750 0.125
H 0.406 0.013 0.827
H 0.827 0.513 0.406
H 0.513 0.827 0.906
H 0.579 0.673 0.686
Mg 0.375 0.250 0.125
Cs 0.250 0.125 0.375
Cs 0.125 0.875 0.750
Mg 0.750 0.625 0.375
H 0.814 0.921 0.327
Mg 0.000 0.500 0.000
H 0.079 0.186 0.173
Mg 0.000 0.000 0.000
Cs 0.375 0.625 0.250
H 0.686 0.173 0.579
Mg 0.875 0.250 0.625
H 0.094 0.673 0.487
H 0.827 0.314 0.921
H 0.579 0.906 0.394
H 0.513 0.686 0.106
H 0.106 0.186 0.513
H 0.894 0.079 0.906
H 0.594 0.987 0.173
! Electronic total energy in eV per atom: -2.6381
! Density of states at the Fermi level in states/eV/f.u.: 1.57
! Size of the total moment in μB/f.u.: 0.000